Material: PrSmDy2Tm4
Method: DFT, PBE-GGA
State: relaxed

a b c (Å): 7.0950 12.2359 12.2366
angles (deg): 146.29 106.87 89.98
Last column: nearest neighbours and their distance in Å.
Fractional positions:
Tm 0.7506 0.2486 0.5006  3 Dy 3.51-3.55, 2 Sm 3.52-3.56, 6 Tm 3.54-3.56, 1 Pr 3.56
Pr 0.5000 0.5000 0.5000  2 Sm 3.55, 2 Dy 3.55, 2 Pr 3.55, 6 Tm 3.56
Tm 0.7489 0.2508 0.9986  3 Dy 3.51-3.56, 2 Sm 3.52-3.56, 6 Tm 3.54-3.55, 1 Pr 3.56
Dy 0.0000 0.0000 0.5000  6 Tm 3.51, 4 Dy 3.55, 2 Sm 3.55
Tm 0.2506 0.2495 0.5018  3 Dy 3.51-3.52, 6 Tm 3.54-3.55, 1 Sm 3.56, 2 Pr 3.56
Dy 0.5000 0.0000 0.5000  6 Tm 3.52, 4 Dy 3.55, 2 Sm 3.55
Tm 0.2497 0.2505 0.9982  3 Dy 3.51-3.55, 1 Sm 3.52, 6 Tm 3.54-3.56, 2 Pr 3.56
Tm 0.7494 0.7505 0.4982  3 Dy 3.51-3.52, 6 Tm 3.54-3.55, 1 Sm 3.56, 2 Pr 3.56
Tm 0.2494 0.7514 0.4994  3 Dy 3.51-3.55, 2 Sm 3.52-3.56, 6 Tm 3.54-3.56, 1 Pr 3.56
Dy 0.5000 0.0000 0.0000  4 Pr 3.55, 2 Sm 3.55, 6 Tm 3.55-3.56
Dy 0.5000 0.5000 0.0000  6 Tm 3.51, 2 Sm 3.55, 4 Dy 3.55
Tm 0.2511 0.7492 0.0014  3 Dy 3.51-3.56, 2 Sm 3.52-3.56, 6 Tm 3.54-3.56, 1 Pr 3.56
Sm 0.0000 0.5000 0.5000  4 Pr 3.55, 2 Dy 3.55, 6 Tm 3.56
Tm 0.7503 0.7495 0.0018  3 Dy 3.51-3.55, 1 Sm 3.52, 6 Tm 3.54-3.56, 2 Pr 3.56
Pr 0.0000 0.0000 0.0000  2 Dy 3.55, 2 Sm 3.55, 2 Pr 3.55, 6 Tm 3.56
Sm 0.0000 0.5000 0.0000  6 Tm 3.52, 6 Dy 3.55

V = 31.4 Å³ per atom
Uncorrected energy = -72.85 eV for the cell shown
Fermi-level density of states = 19.90 states/eV per cell